The following is a PBE-GGA calculation of an optimized crystal structure of Y3Zn3Pd2, from Alexandria.

a b c (Å): 7.5774 16.2224 5.4868
angles (deg): 90.00 90.00 90.00
Fractional coordinates of all 32 atoms:
Y 0.0398 0.1067 0.1241
Y 0.0398 0.3933 0.1241
Y 0.1673 0.2500 0.6389
Y 0.3327 0.7500 0.1389
Y 0.4602 0.6067 0.6241
Y 0.4602 0.8933 0.6241
Y 0.5398 0.1067 0.3759
Y 0.5398 0.3933 0.3759
Y 0.6673 0.2500 0.8611
Y 0.8327 0.7500 0.3611
Y 0.9602 0.6067 0.8759
Y 0.9602 0.8933 0.8759
Zn 0.1745 0.7500 0.6422
Zn 0.1809 0.0304 0.5999
Zn 0.1809 0.4696 0.5999
Zn 0.3191 0.5304 0.0999
Zn 0.3191 0.9696 0.0999
Zn 0.3255 0.2500 0.1422
Zn 0.6745 0.7500 0.8578
Zn 0.6809 0.0304 0.9001
Zn 0.6809 0.4696 0.9001
Zn 0.8191 0.5304 0.4001
Zn 0.8191 0.9696 0.4001
Zn 0.8255 0.2500 0.3578
Pd 0.1116 0.6161 0.3754
Pd 0.1116 0.8839 0.3754
Pd 0.3884 0.1161 0.8754
Pd 0.3884 0.3839 0.8754
Pd 0.6116 0.6161 0.1246
Pd 0.6116 0.8839 0.1246
Pd 0.8884 0.1161 0.6246
Pd 0.8884 0.3839 0.6246

Summary:
* symmetry: Pnma
* VASP energy: -4.811 eV per atom
* Fermi-level density of states: 5.61 states/eV/f.u.
* V: 674.5 Å³ per cell
* total magnetic moment: 0.00 μB per formula unit